A relaxed GdMnAu2 crystal, computed with PBE.

```
4
Lattice="3.4373 0.0000 0.0000 0.0000 3.4373 0.0000 0.0000 0.0000 6.8502" Properties=species:S:1:pos:R:3 pbc="T T T"
Gd 0.0000 0.0000 0.0000
Mn 0.0000 0.0000 3.4251
Au 1.7186 1.7186 1.9509
Au 1.7186 1.7186 4.8994
```

## Properties
As for the space group: P4/mmm. The density of states at the Fermi level comes out at 1.85 states/eV per cell. As for the formation energy: -408 meV per atom.